DFT (PBE-GGA) results for a relaxed Ga3BW crystal.

**Calculated total energy**: -4.34 eV/atom
**Energy of formation**: 1402.6 meV/atom
**ΔE to the lowest computed polymorph**: 348 meV per atom

Unit cell a=4.916 b=4.916 c=4.916 alpha=90.00 beta=90.00 gamma=90.00
Fractional positions:
B1 0.500 0.500 0.500
Ga1 0.000 0.500 0.000
Ga2 0.000 0.000 0.500
Ga3 0.500 0.000 0.000
W1 0.000 0.000 0.000

=====

DFT (PBE-GGA) results for a relaxed GaB2W2 crystal.

**Calculated total energy**: -8.52 eV/atom
**Energy of formation**: -59.4 meV/atom

Unit cell a=5.926 b=5.926 c=3.190 alpha=90.00 beta=90.00 gamma=90.00
Fractional positions:
B1 0.390 0.890 0.000
B2 0.890 0.610 0.000
B3 0.610 0.110 0.000
B4 0.110 0.390 0.000
Ga1 0.000 0.000 0.000
Ga2 0.500 0.500 0.000
W1 0.175 0.675 0.500
W2 0.675 0.825 0.500
W3 0.825 0.325 0.500
W4 0.325 0.175 0.500

=====

DFT (PBE-GGA) results for a relaxed Ga3BW crystal.

**Calculated total energy**: -4.69 eV/atom
**Energy of formation**: 1054.9 meV/atom
**ΔE to the lowest computed polymorph**: 0 meV per atom

Unit cell a=4.269 b=4.269 c=4.269 alpha=90.00 beta=90.00 gamma=90.00
Fractional positions:
B1 0.000 0.000 0.000
Ga1 0.000 0.500 0.000
Ga2 0.000 0.000 0.500
Ga3 0.500 0.000 0.000
W1 0.500 0.500 0.500